The following is a GGA-PBEsol calculation of MoIrBr2 after structural relaxation, from Alexandria via LeMat-Bulk.

Results
- ρ (Mg/m³) = 10.6
- SG = F-43m
- calculated total energy (eV per formula unit) = -21.1
- volume (A^3/atom) = 17.51
- magnetization (μB per cell) = 1.1
- crystal system = cubic
- formation energy (no corrections) (eV/atom) = 1.06

abc: 4.6270 4.6270 4.6270
angles: 60.00 60.00 60.00
Closest atoms and distances in Å follow each position.
Fractional positions:
Mo 0.0000 0.0000 0.0000  4 Br 2.83, 4 Ir 2.83
Ir 0.7500 0.7500 0.7500  4 Br 2.83, 4 Mo 2.83
Br 0.2500 0.2500 0.2500  4 Mo 2.83, 4 Br 2.83
Br 0.5000 0.5000 0.5000  4 Ir 2.83, 4 Br 2.83